Material: Ca3VCl2F6
Method: DFT, PBE with a Hubbard U
State: optimized geometry

Computed properties:
energy: -5.48 eV per atom
symmetry: C2/m (12)

Cell lengths 5.379, 6.904, 7.020 Å; angles 119.46, 81.95, 90.00 degrees
Atoms (fractional coordinates):
1 F 0.655 0.831 0.663
2 F 0.706 0.316 0.132
3 Cl 0.158 0.697 0.393
4 Ca 0.500 0.500 0.500
5 F 0.294 0.184 0.868
6 F 0.294 0.684 0.868
7 V 0.500 0.000 0.000
8 F 0.706 0.816 0.132
9 Ca 0.500 0.000 0.500
10 F 0.345 0.169 0.337
11 Ca 0.000 0.500 0.000
12 Cl 0.842 0.303 0.607